Density functional theory data (GGA-PBE) for PuBW after structural relaxation.

POSCAR file:
```
PuBW
1.0
3.948 0.420 -1.301
2.527 -3.325 -0.114
1.172 -1.609 -3.674
B Pu W
1 1 1
Direct
0.250 0.250 0.250
0.000 0.000 0.000
0.750 0.750 0.750
```

Density functional theory data (GGA-PBE) for RbReB4 after structural relaxation.

POSCAR file:
```
RbReB4
1.0
-1.149 2.257 1.652
-1.465 -2.639 -0.180
4.303 -2.858 6.895
B Re Rb
4 1 1
Direct
0.667 0.333 0.693
0.333 0.667 0.693
0.667 0.333 0.307
0.333 0.667 0.307
0.000 0.000 0.500
0.000 0.000 0.000
```

Number 1: calculated volume 52 Å³/cell, M_tot 1.05 μB/atom, relative energy among the computed polymorphs 1152 meV/atom. Number 2: calculated volume 68 Å³/cell, M_tot 0.00 μB/atom, relative energy among the computed polymorphs 0 meV/atom.